No. 1
DFT (SCAN) results for BeZnTc2 at its PBEsol-relaxed geometry.

- ΔE_f (kJ per mole of atoms) = 3.0
- relative energy among the computed polymorphs (eV/atom) = 0.152
- crystal system = monoclinic

abc: 8.4380 2.7290 4.4667
angles: 90.00 100.40 90.00
With the nearest neighbours (Å) after each atom.
Space group Cm (No. 8)
Symmetry-distinct sites (fractional):
Be: 0.0000 0.0000 0.0000 [2 per cell]  3 Zn 2.47-2.53, 7 Tc 2.56-2.71, 2 Be 2.73
Zn: 0.2482 0.5000 0.2074 [2 per cell]  3 Be 2.47-2.53, 7 Tc 2.58-2.69, 2 Zn 2.73
Tc: 0.0041 0.5000 0.5005 [2 per cell]  5 Tc 2.44-2.73, 4 Be 2.61-2.62, 3 Zn 2.63-2.69
Tc: 0.2609 0.0000 0.7231 [2 per cell]  5 Tc 2.44-2.73, 3 Be 2.56-2.71, 4 Zn 2.58-2.66



No. 2
DFT (SCAN) results for LiNi2Rh at its PBEsol-relaxed geometry.

- ΔE_f (kJ per mole of atoms) = -2.4
- crystal system = orthorhombic

abc: 2.5426 4.1259 4.3556
angles: 90.00 90.00 90.00
With the nearest neighbours (Å) after each atom.
Space group Pmm2 (No. 25)
Symmetry-distinct sites (fractional):
Li: 0.0000 0.0000 0.0000 [1 per cell]  8 Ni 2.49-2.55, 2 Li 2.54, 2 Rh 2.59
Ni: 0.5000 0.0000 0.5073 [1 per cell]  4 Li 2.49-2.55, 4 Rh 2.51, 4 Ni 2.54-2.56
Ni: 0.5000 0.5000 0.8569 [1 per cell]  4 Li 2.50, 4 Rh 2.51-2.54, 4 Ni 2.54-2.56
Rh: 0.0000 0.5000 0.3611 [1 per cell]  8 Ni 2.51-2.54, 2 Rh 2.54, 2 Li 2.59



No. 3
DFT (SCAN) results for Li4Nb3TeO12 at its PBEsol-relaxed geometry.

- ΔE_f (raw) (kJ/mol of formula units) = -4550
- crystal system = triclinic

abc: 5.1642 5.5129 7.5642
angles: 84.83 89.94 89.99
With the nearest neighbours (Å) after each atom.
Space group P1 (No. 1)
Symmetry-distinct sites (fractional):
Li: 0.0000 0.0000 0.0000 [1 per cell]  4 O 2.02-2.25
Li: 0.0017 0.9931 0.5045 [1 per cell]  3 O 2.01-2.02
Li: 0.4973 0.4846 0.9974 [1 per cell]  3 O 1.99-2.01
Li: 0.5006 0.4961 0.5090 [1 per cell]  6 O 2.02-2.27
Nb: 0.5025 0.9352 0.7140 [1 per cell]  4 O 1.90-2.07
Nb: 0.9978 0.4176 0.2253 [1 per cell]  5 O 1.89-2.08
Nb: 0.9985 0.4344 0.7237 [1 per cell]  4 O 1.90-2.12
Te: 0.5023 0.9164 0.2145 [1 per cell]  6 O 1.99-2.09
O: 0.1292 0.3903 0.9586 [1 per cell]  1 Nb 1.90, 1 Li 2.00
O: 0.1718 0.0813 0.2677 [1 per cell]  1 Te 1.99, 1 Li 2.01, 1 Nb 2.06
O: 0.1933 0.7133 0.6372 [1 per cell]  2 Nb 1.90-2.12, 1 Li 2.02
O: 0.3044 0.2138 0.6358 [1 per cell]  1 Nb 1.90, 1 Li 2.02
O: 0.3269 0.5779 0.2684 [1 per cell]  1 Nb 1.96, 1 Li 2.04, 1 Te 2.08
O: 0.3677 0.8917 0.9569 [1 per cell]  1 Nb 1.96, 1 Li 2.02, 1 Te 2.09
O: 0.6357 0.8875 0.4617 [1 per cell]  1 Te 1.99, 1 Li 2.01, 1 Nb 2.07
O: 0.6747 0.5834 0.7653 [1 per cell]  1 Nb 1.90, 1 Li 2.01
O: 0.6951 0.2172 0.1316 [1 per cell]  1 Te 1.99, 1 Li 1.99, 1 Nb 2.08
O: 0.8163 0.7173 0.1362 [1 per cell]  1 Nb 1.97, 1 Li 2.02, 1 Te 2.07
O: 0.8228 0.0855 0.7650 [1 per cell]  2 Nb 1.90-2.12, 1 Li 2.02
O: 0.8694 0.3915 0.4606 [1 per cell]  1 Nb 1.89, 1 Li 2.03



No. 4
DFT (SCAN) results for Sr2LiCa at its PBEsol-relaxed geometry.

- ΔE_f (kJ per mole of atoms) = 9.1
- relative energy among the computed polymorphs (eV/atom) = 0.082
- crystal system = cubic

abc: 8.7956 8.7956 8.7956
angles: 90.00 90.00 90.00
With the nearest neighbours (Å) after each atom.
Space group Fm-3m (No. 225)
Symmetry-distinct sites (fractional):
Sr: 0.2500 0.2500 0.2500 [8 per cell]  4 Li 3.81, 4 Ca 3.81
Li: 0.0000 0.0000 0.0000 [4 per cell]  8 Sr 3.81
Ca: 0.0000 0.0000 0.5000 [4 per cell]  8 Sr 3.81



No. 5
DFT (SCAN) results for Li2In2Sn at its PBEsol-relaxed geometry.

- ΔE_f (kJ per mole of atoms) = -24.3
- crystal system = tetragonal

abc: 8.0673 8.0673 3.2207
angles: 90.00 90.00 90.00
With the nearest neighbours (Å) after each atom.
Space group P4/mbm (No. 127)
Symmetry-distinct sites (fractional):
Li: 0.1709 0.3291 0.0000 [4 per cell]  6 In 2.79-2.93
In: 0.1293 0.6293 0.5000 [4 per cell]  6 Li 2.79-2.93, 1 In 2.95
Sn: 0.0000 0.0000 0.5000 [2 per cell]  4 In 3.17, 2 Sn 3.22, 8 Li 3.40



No. 6
DFT (SCAN) results for Ti3GeBr at its PBEsol-relaxed geometry.

- ΔE_f (raw) (kJ/mol of formula units) = 239
- crystal system = cubic

abc: 4.5813 4.5813 4.5813
angles: 90.00 90.00 90.00
With the nearest neighbours (Å) after each atom.
Space group Pm-3m (No. 221)
Symmetry-distinct sites (fractional):
Ti: 0.0000 0.0000 0.5000 [3 per cell]  2 Br 2.29
Ge: 0.5000 0.5000 0.5000 [1 per cell]  12 Ti 3.24
Br: 0.0000 0.0000 0.0000 [1 per cell]  6 Ti 2.29



No. 7
DFT (SCAN) results for TlWBr at its PBEsol-relaxed geometry.

- relative energy among the computed polymorphs (eV/atom) = 0.772
- ΔE_f (raw) (kJ/mol of formula units) = 568
- crystal system = cubic

abc: 7.0065 7.0065 7.0065
angles: 90.00 90.00 90.00
With the nearest neighbours (Å) after each atom.
Space group F-43m (No. 216)
Symmetry-distinct sites (fractional):
Tl: 0.0000 0.0000 0.0000 [4 per cell]  4 Br 3.03, 4 W 3.03
W: 0.2500 0.2500 0.2500 [4 per cell]  4 Tl 3.03
Br: 0.2500 0.2500 0.7500 [4 per cell]  4 Tl 3.03



No. 8
DFT (SCAN) results for Zr2InBr at its PBEsol-relaxed geometry.

- relative energy among the computed polymorphs (eV/atom) = 0.037
- ΔE_f (raw) (kJ/mol of formula units) = -113
- crystal system = tetragonal

abc: 5.0965 5.0965 3.2045
angles: 90.00 90.00 90.00
With the nearest neighbours (Å) after each atom.
Space group P4/mmm (No. 123)
Symmetry-distinct sites (fractional):
Zr: 0.0000 0.5000 0.0000 [2 per cell]  4 In 3.01, 4 Br 3.01, 2 Zr 3.20
In: 0.0000 0.0000 0.5000 [1 per cell]  8 Zr 3.01, 2 In 3.20
Br: 0.5000 0.5000 0.5000 [1 per cell]  8 Zr 3.01, 2 Br 3.20



No. 9
DFT (SCAN) results for BaSr2Ca2 at its PBEsol-relaxed geometry.

- ΔE_f (kJ per mole of atoms) = 8.1
- crystal system = tetragonal

abc: 10.9588 10.9588 4.1990
angles: 90.00 90.00 90.00
With the nearest neighbours (Å) after each atom.
Space group P4/mbm (No. 127)
Symmetry-distinct sites (fractional):
Ba: 0.0000 0.0000 0.0000 [2 per cell]  2 Ba 4.20, 4 Ca 4.36, 8 Sr 4.57
Sr: 0.1731 0.3269 0.5000 [4 per cell]  6 Ca 3.82-3.89, 2 Sr 4.20
Ca: 0.1211 0.6211 0.0000 [4 per cell]  3 Ca 3.75-4.20, 6 Sr 3.82-3.89



No. 10
DFT (SCAN) results for SrTlHg2 at its PBEsol-relaxed geometry.

- ΔE_f (kJ per mole of atoms) = -34.4
- relative energy among the computed polymorphs (eV/atom) = 0.123
- crystal system = tetragonal

abc: 3.8238 3.8238 7.3857
angles: 90.00 90.00 90.00
With the nearest neighbours (Å) after each atom.
Space group P4mm (No. 99)
Symmetry-distinct sites (fractional):
Sr: 0.0000 0.0000 0.0000 [1 per cell]  5 Hg 3.32-3.51, 4 Tl 3.51
Tl: 0.5000 0.5000 0.3026 [1 per cell]  5 Hg 3.16-3.23, 4 Sr 3.51
Hg: 0.0000 0.0000 0.5242 [1 per cell]  4 Hg 3.14, 4 Tl 3.16
Hg: 0.5000 0.5000 0.7394 [1 per cell]  4 Hg 3.14, 1 Tl 3.23, 4 Sr 3.32



No. 11
DFT (SCAN) results for Gd2AgIr at its PBEsol-relaxed geometry.

- ΔE_f (kJ per mole of atoms) = -58.8
- crystal system = cubic

abc: 6.9738 6.9738 6.9738
angles: 90.00 90.00 90.00
With the nearest neighbours (Å) after each atom.
Space group Fm-3m (No. 225)
Symmetry-distinct sites (fractional):
Gd: 0.2500 0.2500 0.2500 [8 per cell]  4 Ir 3.02, 4 Ag 3.02
Ag: 0.0000 0.0000 0.0000 [4 per cell]  8 Gd 3.02
Ir: 0.0000 0.0000 0.5000 [4 per cell]  8 Gd 3.02



No. 12
DFT (SCAN) results for CuNi2W at its PBEsol-relaxed geometry.

- ΔE_f (kJ per mole of atoms) = 25.6
- relative energy among the computed polymorphs (eV/atom) = 0.219
- crystal system = trigonal

abc: 2.6180 2.6180 24.8032
angles: 90.00 90.00 120.00
With the nearest neighbours (Å) after each atom.
Space group R3m (No. 160, hexagonal axes)
Symmetry-distinct sites (fractional):
Cu: 0.0000 0.0000 0.0000 [3 per cell]  3 Ni 2.48, 6 Cu 2.62, 3 W 2.72
Ni: 0.0000 0.0000 0.4912 [3 per cell]  9 Ni 2.47-2.62, 3 W 2.58
Ni: 0.0000 0.0000 0.7458 [3 per cell]  9 Ni 2.47-2.62, 3 Cu 2.48
W: 0.0000 0.0000 0.2423 [3 per cell]  3 Ni 2.58, 6 W 2.62, 3 Cu 2.72



No. 13
DFT (SCAN) results for LiMnSi at its PBEsol-relaxed geometry.

- ΔE_f (raw) (kJ/mol of formula units) = -20
- crystal system = cubic

abc: 5.6521 5.6521 5.6521
angles: 90.00 90.00 90.00
With the nearest neighbours (Å) after each atom.
Space group F-43m (No. 216)
Symmetry-distinct sites (fractional):
Li: 0.0000 0.0000 0.0000 [4 per cell]  4 Si 2.45
Mn: 0.0000 0.0000 0.5000 [4 per cell]  4 Si 2.45
Si: 0.2500 0.2500 0.7500 [4 per cell]  4 Mn 2.45, 4 Li 2.45



No. 14
DFT (SCAN) results for TeHPd3 at its PBEsol-relaxed geometry.

- crystal system = cubic

abc: 4.0816 4.0816 4.0816
angles: 90.00 90.00 90.00
With the nearest neighbours (Å) after each atom.
Space group Pm-3m (No. 221)
Symmetry-distinct sites (fractional):
Te: 0.0000 0.0000 0.0000 [1 per cell]  12 Pd 2.89
H: 0.5000 0.5000 0.5000 [1 per cell]  6 Pd 2.04
Pd: 0.0000 0.5000 0.5000 [3 per cell]  2 H 2.04



No. 15
DFT (SCAN) results for Na4PtO4 at its PBEsol-relaxed geometry.

- ΔE_f (raw) (kJ/mol of formula units) = -1136
- crystal system = monoclinic

abc: 10.7480 3.2504 7.8639
angles: 90.00 121.09 90.00
With the nearest neighbours (Å) after each atom.
Space group C2/m (No. 12)
Symmetry-distinct sites (fractional):
Na: 0.1300 0.0000 0.3966 [4 per cell]  4 O 2.22-2.31
Na: 0.2025 0.5000 0.8242 [4 per cell]  5 O 2.27-2.46
Pt: 0.0000 0.5000 0.0000 [2 per cell]  6 O 2.08
O: 0.0692 0.0000 0.9056 [4 per cell]  2 Pt 2.08, 2 Na 2.23-2.27
O: 0.1967 0.5000 0.2686 [4 per cell]  1 Pt 2.08, 5 Na 2.22-2.31



No. 16
DFT (SCAN) results for Sr2CaFe at its PBEsol-relaxed geometry.

- ΔE_f (kJ per mole of atoms) = 38.1
- relative energy among the computed polymorphs (eV/atom) = 0.000
- crystal system = orthorhombic

abc: 3.7867 5.9792 12.2489
angles: 90.00 90.00 90.00
With the nearest neighbours (Å) after each atom.
Space group Imm2 (No. 44)
Symmetry-distinct sites (fractional):
Sr: 0.0000 0.0000 0.0000 [2 per cell]  4 Fe 3.54, 2 Ca 3.76, 4 Sr 3.78-3.79
Sr: 0.0000 0.5000 0.1892 [2 per cell]  2 Fe 3.06
Ca: 0.0000 0.5000 0.8136 [2 per cell]  2 Fe 2.90
Fe: 0.0000 0.0000 0.4933 [2 per cell]  2 Ca 2.90, 2 Sr 3.06



No. 17
DFT (SCAN) results for La3GaBr at its PBEsol-relaxed geometry.

- ΔE_f (raw) (kJ/mol of formula units) = -133
- crystal system = cubic

abc: 5.7116 5.7116 5.7116
angles: 90.00 90.00 90.00
With the nearest neighbours (Å) after each atom.
Space group Pm-3m (No. 221)
Symmetry-distinct sites (fractional):
La: 0.0000 0.0000 0.5000 [3 per cell]  2 Ga 2.86
Ga: 0.0000 0.0000 0.0000 [1 per cell]  6 La 2.86
Br: 0.5000 0.5000 0.5000 [1 per cell]  12 La 4.04



No. 18
DFT (SCAN) results for La2MgHg at its PBEsol-relaxed geometry.

- ΔE_f (kJ per mole of atoms) = -37.2
- relative energy among the computed polymorphs (eV/atom) = 0.040
- crystal system = orthorhombic

abc: 4.9175 3.6164 12.7523
angles: 90.00 90.00 90.00
With the nearest neighbours (Å) after each atom.
Space group Amm2 (No. 38)
Symmetry-distinct sites (fractional):
La: 0.0000 0.0000 0.0000 [2 per cell]  4 Hg 3.32, 3 Mg 3.41-3.49, 2 La 3.62
La: 0.5000 0.0000 0.3330 [2 per cell]  4 Mg 3.34, 3 Hg 3.43-3.46, 6 La 3.62-3.72
Mg: 0.0000 0.0000 0.7264 [2 per cell]  2 Hg 2.93
Hg: 0.5000 0.0000 0.6018 [2 per cell]  2 Mg 2.93



No. 19
DFT (SCAN) results for Re2SiC at its PBEsol-relaxed geometry.

- ΔE_f (raw) (kJ/mol of formula units) = 359
- crystal system = tetragonal

abc: 4.4932 4.4932 11.9908
angles: 90.00 90.00 90.00
With the nearest neighbours (Å) after each atom.
Space group I-42d (No. 122)
Symmetry-distinct sites (fractional):
Re: 0.1628 0.2500 0.1250 [8 per cell]  2 C 2.01
Si: 0.0000 0.0000 0.5000 [4 per cell]  4 Re 2.41
C: 0.0000 0.0000 0.0000 [4 per cell]  4 Re 2.01



No. 20
DFT (SCAN) results for La2NiPt at its PBEsol-relaxed geometry.

- ΔE_f (kJ per mole of atoms) = -81.0
- crystal system = orthorhombic

abc: 4.4011 3.9145 10.7438
angles: 90.00 90.00 90.00
With the nearest neighbours (Å) after each atom.
Space group Amm2 (No. 38)
Symmetry-distinct sites (fractional):
La: 0.0000 0.0000 0.0000 [2 per cell]  3 Ni 3.00-3.07, 4 Pt 3.01
La: 0.5000 0.0000 0.2731 [2 per cell]  4 Ni 3.00, 3 Pt 3.04
Ni: 0.0000 0.0000 0.7203 [2 per cell]  2 Pt 2.82, 7 La 3.00-3.07
Pt: 0.5000 0.0000 0.5563 [2 per cell]  2 Ni 2.82, 7 La 3.01-3.04



| no. | calculated total energy (eV per cell) |
| --- | --- |
| 1 | -175.7 |
| 2 | -68.6 |
| 3 | -268.1 |
| 4 | -224.9 |
| 5 | -217.5 |
| 6 | -84.2 |
| 7 | -622.5 |
| 8 | -115.4 |
| 9 | -206.0 |
| 10 | -232.4 |
| 11 | -890.1 |
| 12 | -348.5 |
| 13 | -123.5 |
| 14 | -139.9 |
| 15 | -247.5 |
| 16 | -141.5 |
| 17 | -166.5 |
| 18 | -321.8 |
| 19 | -634.3 |
| 20 | -351.9 |